This record from Alexandria describes SrMnSb2Te after structural relaxation. The functional is PBE.

Results
- polymorph energy (0 for the lowest one) (kJ/mol of atoms) = 0.0
- total magnetization (Bohr magnetons per cell) = 3.4

Structure (CIF):
```
data_SrMnSb2Te
_chemical_formula_sum 'Sr1 Mn1 Sb2 Te1'
_space_group_name_H-M_alt 'P 4/m m m'
_space_group_IT_number 123
_space_group_name_Hall '-P 4 2'
_cell_length_a 5.1706
_cell_length_b 5.1706
_cell_length_c 5.5985
_cell_angle_alpha 90.00
_cell_angle_beta 90.00
_cell_angle_gamma 90.00
loop_
_atom_site_label
_atom_site_fract_x
_atom_site_fract_y
_atom_site_fract_z
Sr1 0.0000 0.0000 0.0000
Mn1 0.5000 0.5000 0.5000
Sb1 0.0000 0.5000 0.5000
Te1 0.5000 0.5000 0.0000
```



This record from Alexandria describes SrMnSb2Te after structural relaxation. The functional is PBE.

Results
- polymorph energy (0 for the lowest one) (kJ/mol of atoms) = 116.6
- total magnetization (Bohr magnetons per cell) = 4.5

Structure (CIF):
```
data_SrMnSb2Te
_chemical_formula_sum 'Sr1 Mn1 Sb2 Te1'
_space_group_name_H-M_alt 'P 4/m m m'
_space_group_IT_number 123
_space_group_name_Hall '-P 4 2'
_cell_length_a 6.0281
_cell_length_b 6.0281
_cell_length_c 5.9988
_cell_angle_alpha 90.00
_cell_angle_beta 90.00
_cell_angle_gamma 90.00
loop_
_atom_site_label
_atom_site_fract_x
_atom_site_fract_y
_atom_site_fract_z
Sr1 0.0000 0.0000 0.0000
Mn1 0.5000 0.5000 0.5000
Sb1 0.0000 0.5000 0.0000
Te1 0.0000 0.0000 0.5000
```



This record from Alexandria describes SrZrMnSb2 after structural relaxation. The functional is PBE.

Results
- total magnetization (Bohr magnetons per cell) = 0.0

Structure (CIF):
```
data_SrZrMnSb2
_chemical_formula_sum 'Sr1 Zr1 Mn1 Sb2'
_space_group_name_H-M_alt 'P 4/m m m'
_space_group_IT_number 123
_space_group_name_Hall '-P 4 2'
_cell_length_a 5.0543
_cell_length_b 5.0543
_cell_length_c 5.0322
_cell_angle_alpha 90.00
_cell_angle_beta 90.00
_cell_angle_gamma 90.00
loop_
_atom_site_label
_atom_site_fract_x
_atom_site_fract_y
_atom_site_fract_z
Sr1 0.0000 0.0000 0.0000
Zr1 0.5000 0.5000 0.0000
Mn1 0.0000 0.0000 0.5000
Sb1 0.0000 0.5000 0.5000
```



This record from Alexandria describes Ta2MnSb after structural relaxation. The functional is PBE.

Results
- total magnetization (Bohr magnetons per cell) = 2.3

Structure (CIF):
```
data_Ta2MnSb
_chemical_formula_sum 'Ta2 Mn1 Sb1'
_space_group_name_H-M_alt 'P 4/m m m'
_space_group_IT_number 123
_space_group_name_Hall '-P 4 2'
_cell_length_a 4.0198
_cell_length_b 4.0198
_cell_length_c 4.3229
_cell_angle_alpha 90.00
_cell_angle_beta 90.00
_cell_angle_gamma 90.00
loop_
_atom_site_label
_atom_site_fract_x
_atom_site_fract_y
_atom_site_fract_z
Ta1 0.0000 0.5000 0.0000
Mn1 0.0000 0.0000 0.5000
Sb1 0.5000 0.5000 0.5000
```



This record from Alexandria describes Ta2MnSb after structural relaxation. The functional is PBE.

Results
- total magnetization (Bohr magnetons per cell) = 1.7

Structure (CIF):
```
data_Ta2MnSb
_chemical_formula_sum 'Ta2 Mn1 Sb1'
_space_group_name_H-M_alt 'P 1 m 1'
_space_group_IT_number 6
_space_group_name_Hall 'P -2y'
_cell_length_a 3.0642
_cell_length_b 4.3456
_cell_length_c 5.4210
_cell_angle_alpha 90.00
_cell_angle_beta 102.26
_cell_angle_gamma 90.00
loop_
_atom_site_label
_atom_site_fract_x
_atom_site_fract_y
_atom_site_fract_z
Ta1 0.0000 0.0000 0.0000
Ta2 0.2808 0.5000 0.7232
Mn1 0.6983 0.5000 0.1804
Sb1 0.6847 0.0000 0.4685
```



This record from Alexandria describes Ta2MnSb after structural relaxation. The functional is PBE.

Results
- total magnetization (Bohr magnetons per cell) = 4.1

Structure (CIF):
```
data_Ta2MnSb
_chemical_formula_sum 'Ta4 Mn2 Sb2'
_space_group_name_H-M_alt 'I m m 2'
_space_group_IT_number 44
_space_group_name_Hall 'I 2 -2'
_cell_length_a 3.4748
_cell_length_b 4.5741
_cell_length_c 8.7773
_cell_angle_alpha 90.00
_cell_angle_beta 90.00
_cell_angle_gamma 90.00
loop_
_atom_site_label
_atom_site_fract_x
_atom_site_fract_y
_atom_site_fract_z
Ta1 0.0000 0.0000 0.0000
Ta2 0.0000 0.5000 0.2384
Mn1 0.0000 0.5000 0.7282
Sb1 0.0000 0.0000 0.4677
```



This record from Alexandria describes Ta2MnSb after structural relaxation. The functional is PBE.

Results
- total magnetization (Bohr magnetons per cell) = 0.0

Structure (CIF):
```
data_Ta2MnSb
_chemical_formula_sum 'Ta4 Mn2 Sb2'
_space_group_name_H-M_alt 'C m m m'
_space_group_IT_number 65
_space_group_name_Hall '-C 2 2'
_cell_length_a 3.9172
_cell_length_b 4.6501
_cell_length_c 7.7130
_cell_angle_alpha 90.00
_cell_angle_beta 90.00
_cell_angle_gamma 90.00
loop_
_atom_site_label
_atom_site_fract_x
_atom_site_fract_y
_atom_site_fract_z
Ta1 0.0000 0.0000 0.2057
Mn1 0.0000 0.5000 0.0000
Sb1 0.0000 0.5000 0.5000
```



This record from Alexandria describes Ta2Mn2Sb after structural relaxation. The functional is PBE.

Results
- polymorph energy (0 for the lowest one) (kJ/mol of atoms) = 0.0
- total magnetization (Bohr magnetons per cell) = 7.4

Structure (CIF):
```
data_Ta2Mn2Sb
_chemical_formula_sum 'Ta4 Mn4 Sb2'
_space_group_name_H-M_alt 'P 4/m b m'
_space_group_IT_number 127
_space_group_name_Hall '-P 4 2ab'
_cell_length_a 6.8896
_cell_length_b 6.8896
_cell_length_c 3.4520
_cell_angle_alpha 90.00
_cell_angle_beta 90.00
_cell_angle_gamma 90.00
loop_
_atom_site_label
_atom_site_fract_x
_atom_site_fract_y
_atom_site_fract_z
Ta1 0.1754 0.3246 0.0000
Mn1 0.1198 0.6198 0.5000
Sb1 0.0000 0.0000 0.5000
```



This record from Alexandria describes TaMnSb after structural relaxation. The functional is PBE.

Results
- total magnetization (Bohr magnetons per cell) = 10.6

Structure (CIF):
```
data_TaMnSb
_chemical_formula_sum 'Ta4 Mn4 Sb4'
_space_group_name_H-M_alt 'F m m 2'
_space_group_IT_number 42
_space_group_name_Hall 'F 2 -2'
_cell_length_a 3.6696
_cell_length_b 4.8597
_cell_length_c 12.3273
_cell_angle_alpha 90.00
_cell_angle_beta 90.00
_cell_angle_gamma 90.00
loop_
_atom_site_label
_atom_site_fract_x
_atom_site_fract_y
_atom_site_fract_z
Ta1 0.0000 0.0000 0.0000
Mn1 0.0000 0.0000 0.3475
Sb1 0.0000 0.0000 0.6814
```



This record from Alexandria describes Ta3MnSb after structural relaxation. The functional is PBE.

Results
- polymorph energy (0 for the lowest one) (kJ/mol of atoms) = 0.0
- total magnetization (Bohr magnetons per cell) = 0.0

Structure (CIF):
```
data_Ta3MnSb
_chemical_formula_sum 'Ta3 Mn1 Sb1'
_space_group_name_H-M_alt 'P m -3 m'
_space_group_IT_number 221
_space_group_name_Hall '-P 4 2 3'
_cell_length_a 4.6325
_cell_length_b 4.6325
_cell_length_c 4.6325
_cell_angle_alpha 90.00
_cell_angle_beta 90.00
_cell_angle_gamma 90.00
loop_
_atom_site_label
_atom_site_fract_x
_atom_site_fract_y
_atom_site_fract_z
Ta1 0.0000 0.0000 0.5000
Mn1 0.0000 0.0000 0.0000
Sb1 0.5000 0.5000 0.5000
```



This record from Alexandria describes Ta2MnSb after structural relaxation. The functional is PBE.

Results
- total magnetization (Bohr magnetons per cell) = 9.6

Structure (CIF):
```
data_Ta2MnSb
_chemical_formula_sum 'Ta8 Mn4 Sb4'
_space_group_name_H-M_alt 'F -4 3 m'
_space_group_IT_number 216
_space_group_name_Hall 'F -4 2 3'
_cell_length_a 6.5236
_cell_length_b 6.5236
_cell_length_c 6.5236
_cell_angle_alpha 90.00
_cell_angle_beta 90.00
_cell_angle_gamma 90.00
loop_
_atom_site_label
_atom_site_fract_x
_atom_site_fract_y
_atom_site_fract_z
Ta1 0.0000 0.0000 0.0000
Ta2 0.2500 0.2500 0.2500
Mn1 0.0000 0.0000 0.5000
Sb1 0.2500 0.2500 0.7500
```



This record from Alexandria describes Ta2Mn2Sb after structural relaxation. The functional is PBE.

Results
- polymorph energy (0 for the lowest one) (kJ/mol of atoms) = 16.1
- total magnetization (Bohr magnetons per cell) = 0.0

Structure (CIF):
```
data_Ta2Mn2Sb
_chemical_formula_sum 'Ta4 Mn4 Sb2'
_space_group_name_H-M_alt 'I 4/m m m'
_space_group_IT_number 139
_space_group_name_Hall '-I 4 2'
_cell_length_a 4.1423
_cell_length_b 4.1423
_cell_length_c 10.1459
_cell_angle_alpha 90.00
_cell_angle_beta 90.00
_cell_angle_gamma 90.00
loop_
_atom_site_label
_atom_site_fract_x
_atom_site_fract_y
_atom_site_fract_z
Ta1 0.0000 0.5000 0.2500
Mn1 0.0000 0.0000 0.1076
Sb1 0.0000 0.0000 0.5000
```



This record from Alexandria describes Ta2MnSb after structural relaxation. The functional is PBE.

Results
- total magnetization (Bohr magnetons per cell) = 4.0

Structure (CIF):
```
data_Ta2MnSb
_chemical_formula_sum 'Ta4 Mn2 Sb2'
_space_group_name_H-M_alt 'I m m m'
_space_group_IT_number 71
_space_group_name_Hall '-I 2 2'
_cell_length_a 3.5290
_cell_length_b 4.3879
_cell_length_c 8.8933
_cell_angle_alpha 90.00
_cell_angle_beta 90.00
_cell_angle_gamma 90.00
loop_
_atom_site_label
_atom_site_fract_x
_atom_site_fract_y
_atom_site_fract_z
Ta1 0.0000 0.0000 0.2401
Mn1 0.0000 0.5000 0.5000
Sb1 0.0000 0.5000 0.0000
```



This record from Alexandria describes TaMnSb after structural relaxation. The functional is PBE.

Results
- total magnetization (Bohr magnetons per cell) = 0.9

Structure (CIF):
```
data_TaMnSb
_chemical_formula_sum 'Ta1 Mn1 Sb1'
_space_group_name_H-M_alt 'P 3 m 1'
_space_group_IT_number 156
_space_group_name_Hall 'P 3 -2"'
_cell_length_a 4.4148
_cell_length_b 4.4148
_cell_length_c 2.9995
_cell_angle_alpha 90.00
_cell_angle_beta 90.00
_cell_angle_gamma 120.00
loop_
_atom_site_label
_atom_site_fract_x
_atom_site_fract_y
_atom_site_fract_z
Ta1 0.0000 0.0000 0.0000
Mn1 0.3333 0.6667 0.3997
Sb1 0.6667 0.3333 0.4812
```



Number 1: DOS(E_F) 3.41 states/eV/f.u., uncorrected formation energy -0.27 eV per atom. Number 2: DOS(E_F) 5.12 states/eV/f.u., uncorrected formation energy 0.94 eV per atom. Number 3: DOS(E_F) 10.68 states/eV/f.u., uncorrected formation energy 0.58 eV per atom. Number 4: DOS(E_F) 2.75 states/eV/f.u., uncorrected formation energy 0.05 eV per atom. Number 5: DOS(E_F) 3.22 states/eV/f.u., uncorrected formation energy 0.17 eV per atom. Number 6: DOS(E_F) 2.80 states/eV/f.u., uncorrected formation energy 0.09 eV per atom. Number 7: DOS(E_F) 3.76 states/eV/f.u., uncorrected formation energy 0.15 eV per atom. Number 8: DOS(E_F) 3.13 states/eV/f.u., uncorrected formation energy 0.17 eV per atom. Number 9: DOS(E_F) 2.43 states/eV/f.u., uncorrected formation energy 0.29 eV per atom. Number 10: DOS(E_F) 5.23 states/eV/f.u., uncorrected formation energy 0.65 eV per atom. Number 11: DOS(E_F) 2.56 states/eV/f.u., uncorrected formation energy 0.28 eV per atom. Number 12: DOS(E_F) 4.67 states/eV/f.u., uncorrected formation energy 0.34 eV per atom. Number 13: DOS(E_F) 2.03 states/eV/f.u., uncorrected formation energy 0.01 eV per atom. Number 14: DOS(E_F) 1.77 states/eV/f.u., uncorrected formation energy 0.21 eV per atom.